Compound: VP2O2
Source: Alexandria via LeMat-Bulk
Functional: PBE+U
Structure: relaxed

Output
**Polymorph energy (0 for the lowest one)**: 0.51 eV/f.u.
**Calculated volume**: 12.01 Å³ per atom
**SG**: No. 123

a = 3.5327 Å, b = 3.5327 Å, c = 4.8112 Å
α = 90.00°, β = 90.00°, γ = 90.00°
Closest atoms and distances in Å follow each position.
Sites, in units of the cell vectors:
O  0.5000  0.0000  0.0000  2 P 1.77
O  0.0000  0.5000  0.0000  2 P 1.77
P  0.0000  0.0000  0.5000  2 P 2.41, 4 V 2.50
P  0.0000  0.0000  0.0000  4 O 1.77
V  0.5000  0.5000  0.5000  4 P 2.50

Compound: V3P4WO20
Source: Alexandria via LeMat-Bulk
Functional: PBE+U
Structure: relaxed

Output
**Uncorrected energy**: -7.38 eV/atom
**Calculated volume**: 12.38 Å³ per atom
**SG**: No. 3

a = 4.4835 Å, b = 6.2166 Å, c = 12.4416 Å
α = 90.00°, β = 90.00°, γ = 90.00°
Closest atoms and distances in Å follow each position.
Sites, in units of the cell vectors:
W  0.7816  0.0000  0.0000  5 O 1.75-1.94
O  0.1402  0.0000  0.5000  1 V 1.61
O  0.3028  0.4636  0.4013  1 P 1.53
O  0.3037  0.8011  0.7706  1 P 1.52
O  0.7006  0.2990  0.5169  1 P 1.55
O  0.7027  0.3043  0.0176  1 P 1.58
O  0.3000  0.8032  0.2672  1 P 1.52
O  0.3002  0.5392  0.0991  1 P 1.51
O  0.8507  0.5002  0.7491  1 V 1.62
O  0.3002  0.4608  0.9009  1 P 1.51
O  0.7027  0.6957  0.9824  1 P 1.58
O  0.7033  0.9646  0.6505  1 P 1.53
O  0.3037  0.1989  0.2294  1 P 1.52
O  0.7009  0.9664  0.1510  1 P 1.60
O  0.1718  0.0000  0.0000  1 W 1.75
O  0.7006  0.7010  0.4831  1 P 1.55
O  0.3000  0.1968  0.7328  1 P 1.52
O  0.3028  0.5364  0.5987  1 P 1.53
O  0.7033  0.0354  0.3495  1 P 1.53
O  0.7009  0.0336  0.8490  1 P 1.60
O  0.8507  0.4998  0.2509  1 V 1.62
V  0.7811  0.0000  0.5000  1 O 1.61
V  0.2118  0.5001  0.2533  1 O 1.62
V  0.2118  0.4999  0.7467  1 O 1.62
P  0.4928  0.0018  0.2539  4 O 1.52-1.60
P  0.4928  0.9982  0.7461  4 O 1.52-1.60
P  0.5013  0.5000  0.5000  4 O 1.53-1.55
P  0.4851  0.5000  0.0000  4 O 1.51-1.58

Compound: VP2WO
Source: Alexandria via LeMat-Bulk
Functional: PBE+U
Structure: relaxed

Output
**Polymorph energy (0 for the lowest one)**: 0.00 eV/f.u.
**Calculated volume**: 18.26 Å³ per atom
**SG**: No. 123

a = 4.9068 Å, b = 4.9068 Å, c = 3.7925 Å
α = 90.00°, β = 90.00°, γ = 90.00°
Closest atoms and distances in Å follow each position.
Sites, in units of the cell vectors:
P  0.0000  0.5000  0.0000  2 W 2.45
P  0.5000  0.0000  0.0000  2 W 2.45
V  0.5000  0.5000  0.5000  8 P 3.10, 4 O 3.47
W  0.0000  0.0000  0.0000  2 O 1.90
O  0.0000  0.0000  0.5000  2 W 1.90

Compound: VP2WO
Source: Alexandria via LeMat-Bulk
Functional: PBE+U
Structure: relaxed

Output
**Polymorph energy (0 for the lowest one)**: 0.49 eV/f.u.
**Calculated volume**: 16.52 Å³ per atom
**SG**: No. 123

a = 4.8022 Å, b = 4.8022 Å, c = 3.5811 Å
α = 90.00°, β = 90.00°, γ = 90.00°
Closest atoms and distances in Å follow each position.
Sites, in units of the cell vectors:
O  0.0000  0.0000  0.5000  2 V 1.79
W  0.5000  0.5000  0.5000  8 P 3.00
P  0.0000  0.5000  0.0000  2 V 2.40
P  0.5000  0.0000  0.0000  2 V 2.40
V  0.0000  0.0000  0.0000  2 O 1.79

Compound: V5P6WO24
Source: Alexandria via LeMat-Bulk
Functional: PBE+U
Structure: relaxed

Output
**Uncorrected energy**: -7.60 eV/atom
**Calculated volume**: 12.89 Å³ per atom
**SG**: No. 146

a = 8.6766 Å, b = 8.6766 Å, c = 8.6766 Å
α = 60.20°, β = 60.20°, γ = 60.20°
Closest atoms and distances in Å follow each position.
Sites, in units of the cell vectors:
O  0.5900  0.2395  0.4457  1 P 1.55
O  0.3049  0.1148  0.5099  1 P 1.52
O  0.5099  0.3049  0.1148  1 P 1.52
O  0.7393  0.0860  0.9360  1 P 1.61
O  0.6831  0.8895  0.5009  1 P 1.51
O  0.5636  0.4080  0.7604  1 P 1.55
O  0.0860  0.9360  0.7393  1 P 1.61
O  0.6117  0.8171  0.0018  1 P 1.58
O  0.8171  0.0018  0.6117  1 P 1.58
O  0.4080  0.7604  0.5636  1 P 1.55
O  0.0018  0.6117  0.8171  1 P 1.58
O  0.5009  0.6831  0.8895  1 P 1.51
O  0.8895  0.5009  0.6831  1 P 1.51
O  0.9957  0.3880  0.1858  1 P 1.51
O  0.9360  0.7393  0.0860  1 P 1.61
O  0.1148  0.5099  0.3049  1 P 1.52
O  0.1858  0.9957  0.3880  1 P 1.51
O  0.4457  0.5900  0.2395  1 P 1.55
O  0.2614  0.9094  0.0602  1 P 1.55
O  0.9094  0.0602  0.2614  1 P 1.55
O  0.0602  0.2614  0.9094  1 P 1.55
O  0.3880  0.1858  0.9957  1 P 1.51
O  0.7604  0.5636  0.4080  1 P 1.55
O  0.2395  0.4457  0.5900  1 P 1.55
V  0.0027  0.0027  0.0027  6 O 2.20-2.31
V  0.3575  0.3575  0.3575  6 O 1.99-2.10
V  0.1433  0.1433  0.1433  6 O 1.97-2.08
V  0.6428  0.6428  0.6428  6 O 1.98-2.07
V  0.5011  0.5011  0.5011  6 O 2.23
P  0.5387  0.2530  0.9571  4 O 1.51-1.61
P  0.2530  0.9571  0.5387  4 O 1.51-1.61
P  0.7472  0.0456  0.4526  4 O 1.51-1.58
P  0.9571  0.5387  0.2530  4 O 1.51-1.61
P  0.4526  0.7472  0.0456  4 O 1.51-1.58
P  0.0456  0.4526  0.7472  4 O 1.51-1.58
W  0.8560  0.8560  0.8560  6 O 1.96-2.04

Compound: VPWO2
Source: Alexandria via LeMat-Bulk
Functional: PBE+U
Structure: relaxed

Output
**Polymorph energy (0 for the lowest one)**: 0.00 eV/f.u.
**Calculated volume**: 15.93 Å³ per atom
**SG**: No. 123

a = 3.8444 Å, b = 3.8444 Å, c = 5.3885 Å
α = 90.00°, β = 90.00°, γ = 90.00°
Closest atoms and distances in Å follow each position.
Sites, in units of the cell vectors:
O  0.5000  0.0000  0.0000  2 W 1.92
O  0.0000  0.5000  0.0000  2 W 1.92
V  0.5000  0.5000  0.5000  4 P 2.72
W  0.0000  0.0000  0.0000  4 O 1.92
P  0.0000  0.0000  0.5000  2 W 2.69, 4 V 2.72

Compound: VPWO2
Source: Alexandria via LeMat-Bulk
Functional: PBE+U
Structure: relaxed

Output
**Polymorph energy (0 for the lowest one)**: 0.88 eV/f.u.
**Calculated volume**: 14.82 Å³ per atom
**SG**: No. 123

a = 3.7030 Å, b = 3.7030 Å, c = 5.4034 Å
α = 90.00°, β = 90.00°, γ = 90.00°
Closest atoms and distances in Å follow each position.
Sites, in units of the cell vectors:
V  0.0000  0.0000  0.0000  4 O 1.85
O  0.0000  0.5000  0.0000  2 V 1.85
O  0.5000  0.0000  0.0000  2 V 1.85
P  0.0000  0.0000  0.5000  4 W 2.62, 2 V 2.70
W  0.5000  0.5000  0.5000  4 P 2.62

Compound: V4Zn3P6O24
Source: Alexandria via LeMat-Bulk
Functional: PBE+U
Structure: relaxed

Output
**Uncorrected energy**: -7.11 eV/atom
**Calculated volume**: 11.49 Å³ per atom
**SG**: No. 2

a = 6.4444 Å, b = 7.9851 Å, c = 9.5051 Å
α = 105.58°, β = 108.70°, γ = 101.00°
Closest atoms and distances in Å follow each position.
Sites, in units of the cell vectors:
O  0.6921  0.4570  0.0801  1 P 1.57
O  0.7517  0.7220  0.5400  1 P 1.53
O  0.3079  0.5430  0.9199  1 P 1.57
O  0.6317  0.2364  0.4926  1 P 1.58
O  0.3683  0.7636  0.5074  1 P 1.58
O  0.8773  0.4607  0.8367  1 P 1.56
O  0.0639  0.5428  0.6557  1 P 1.58
O  0.5509  0.6396  0.7170  1 P 1.53
O  0.9361  0.4572  0.3443  1 P 1.58
O  0.7238  0.9665  0.7621  1 P 1.56
O  0.4491  0.3604  0.2830  1 P 1.53
O  0.0182  0.1820  0.6579  1 P 1.56
O  0.9818  0.8180  0.3421  1 P 1.56
O  0.2283  0.2010  0.9398  1 P 1.57
O  0.8958  0.2128  0.0878  1 P 1.50
O  0.2153  0.9461  0.7088  1 P 1.51
O  0.1227  0.5393  0.1633  1 P 1.56
O  0.2762  0.0335  0.2379  1 P 1.56
O  0.5442  0.7349  0.2292  1 P 1.58
O  0.7847  0.0539  0.2912  1 P 1.51
O  0.1042  0.7872  0.9122  1 P 1.50
O  0.4558  0.2651  0.7708  1 P 1.58
O  0.2483  0.2780  0.4600  1 P 1.53
O  0.7717  0.7990  0.0602  1 P 1.57
P  0.9122  0.4079  0.1664  4 O 1.50-1.58
P  0.0878  0.5921  0.8336  4 O 1.50-1.58
P  0.3963  0.2286  0.3671  4 O 1.53-1.58
P  0.7717  0.8547  0.2317  4 O 1.51-1.58
P  0.6037  0.7714  0.6329  4 O 1.53-1.58
P  0.2283  0.1453  0.7683  4 O 1.51-1.58
V  0.6127  0.5402  0.8854  6 O 1.94-2.10
V  0.9548  0.2838  0.4762  6 O 1.95-2.11
V  0.3873  0.4598  0.1146  6 O 1.94-2.10
V  0.0452  0.7162  0.5238  6 O 1.95-2.11
Zn  0.0000  0.0000  0.0000  2 O 2.02
Zn  0.2830  0.8121  0.2934  5 O 1.98-2.14
Zn  0.7170  0.1879  0.7066  5 O 1.98-2.14

Compound: V2ZnP2O10
Source: Alexandria via LeMat-Bulk
Functional: PBE+U
Structure: relaxed

Output
**Uncorrected energy**: -7.08 eV/atom
**Calculated volume**: 11.00 Å³ per atom
**SG**: No. 43

a = 9.9208 Å, b = 8.9414 Å, c = 6.6602 Å
α = 77.45°, β = 61.61°, γ = 40.94°
Closest atoms and distances in Å follow each position.
Sites, in units of the cell vectors:
O  0.9015  0.1284  0.8233  1 P 1.58
O  0.8340  0.6329  0.9427  1 P 1.57
O  0.6580  0.1780  0.3358  2 V 1.72-1.90
O  0.1216  0.3485  0.1032  1 P 1.58
O  0.6171  0.4160  0.6597  1 P 1.57
O  0.8281  0.3358  0.1780  2 V 1.72-1.90
O  0.8105  0.0015  0.6603  1 P 1.53
O  0.2485  0.4395  0.7223  1 P 1.53
O  0.0720  0.5920  0.4219  2 V 1.72-1.90
O  0.2184  0.0829  0.7575  1 P 1.53
O  0.1468  0.8233  0.1284  1 P 1.58
O  0.4925  0.3088  0.0316  1 P 1.53
O  0.4267  0.1032  0.3485  1 P 1.58
O  0.9142  0.4219  0.5920  2 V 1.72-1.90
O  0.9412  0.7575  0.0829  1 P 1.53
O  0.5897  0.7223  0.4395  1 P 1.53
O  0.5903  0.9427  0.6329  1 P 1.57
O  0.5277  0.6603  0.0015  1 P 1.53
O  0.1671  0.0316  0.3088  1 P 1.53
O  0.3073  0.6597  0.4160  1 P 1.57
Zn  0.2497  0.7503  0.7503  4 O 2.19-2.25
Zn  0.4997  0.0003  0.0003  4 O 2.19-2.25
V  0.8611  0.8989  0.3720  2 O 1.72-1.90
V  0.8681  0.3720  0.8989  2 O 1.72-1.90
V  0.8780  0.3819  0.3889  2 O 1.72-1.90
V  0.3511  0.3889  0.3819  2 O 1.72-1.90
P  0.7033  0.2150  0.7948  4 O 1.53-1.58
P  0.2869  0.7948  0.2150  4 O 1.53-1.58
P  0.4552  0.9631  0.5467  4 O 1.53-1.58
P  0.0350  0.5467  0.9631  4 O 1.53-1.58

Compound: VZnPO5
Source: Alexandria via LeMat-Bulk
Functional: PBE+U
Structure: relaxed

Output
**Uncorrected energy**: -6.89 eV/atom
**Calculated volume**: 12.04 Å³ per atom
**SG**: No. 15

a = 5.5199 Å, b = 5.5199 Å, c = 7.2129 Å
α = 71.53°, β = 71.53°, γ = 95.81°
Closest atoms and distances in Å follow each position.
Sites, in units of the cell vectors:
O  0.2686  0.7717  0.9165  1 P 1.54
O  0.2283  0.7314  0.5835  1 P 1.54
O  0.8008  0.8350  0.3529  1 P 1.58
O  0.4127  0.5873  0.2500  1 Zn 1.87, 2 V 1.94
O  0.5873  0.4127  0.7500  1 Zn 1.87, 2 V 1.94
O  0.7717  0.2686  0.4165  1 P 1.54
O  0.1650  0.1992  0.1471  1 P 1.58
O  0.7314  0.2283  0.0835  1 P 1.54
O  0.1992  0.1650  0.6471  1 P 1.58
O  0.8350  0.8008  0.8529  1 P 1.58
V  0.5000  0.5000  0.0000  6 O 1.94-2.13
V  0.5000  0.5000  0.5000  6 O 1.94-2.13
P  0.1438  0.8562  0.7500  4 O 1.54-1.58
P  0.8562  0.1438  0.2500  4 O 1.54-1.58
Zn  0.8151  0.1849  0.7500  3 O 1.87-2.04
Zn  0.1849  0.8151  0.2500  3 O 1.87-2.04

Compound: VZnP2O
Source: Alexandria via LeMat-Bulk
Functional: PBE+U
Structure: relaxed

Output
**Polymorph energy (0 for the lowest one)**: 4.37 eV/f.u.
**Calculated volume**: 16.19 Å³ per atom
**SG**: No. 123

a = 4.7178 Å, b = 4.7178 Å, c = 3.6365 Å
α = 90.00°, β = 90.00°, γ = 90.00°
Closest atoms and distances in Å follow each position.
Sites, in units of the cell vectors:
P  0.0000  0.5000  0.0000  2 Zn 2.36
P  0.5000  0.0000  0.0000  2 Zn 2.36
Zn  0.0000  0.0000  0.0000  2 O 1.82
O  0.0000  0.0000  0.5000  2 Zn 1.82
V  0.5000  0.5000  0.5000  8 P 2.98

Compound: VZnP2O7
Source: Alexandria via LeMat-Bulk
Functional: PBE+U
Structure: relaxed

Output
**Uncorrected energy**: -6.98 eV/atom
**Calculated volume**: 11.72 Å³ per atom
**SG**: No. 2

a = 5.6797 Å, b = 6.5395 Å, c = 7.4169 Å
α = 81.74°, β = 87.48°, γ = 71.00°
Closest atoms and distances in Å follow each position.
Sites, in units of the cell vectors:
P  0.7677  0.3006  0.8805  4 O 1.53-1.59
P  0.2323  0.6994  0.1195  4 O 1.53-1.59
P  0.8199  0.8171  0.4036  4 O 1.51-1.62
P  0.1801  0.1829  0.5964  4 O 1.51-1.62
O  0.7135  0.6410  0.3737  1 P 1.51
O  0.2865  0.3590  0.6263  1 P 1.51
O  0.0802  0.7840  0.2945  2 P 1.59-1.62
O  0.3977  0.4630  0.1835  1 P 1.54
O  0.3873  0.8516  0.0692  1 P 1.53
O  0.6023  0.5370  0.8165  1 P 1.54
O  0.6560  0.0518  0.3321  1 P 1.54
O  0.0562  0.7069  0.9649  1 P 1.54
O  0.6127  0.1484  0.9308  1 P 1.53
O  0.9438  0.2931  0.0351  1 P 1.54
O  0.9198  0.2160  0.7055  2 P 1.59-1.62
O  0.0996  0.1956  0.3974  1 P 1.55
O  0.3440  0.9482  0.6679  1 P 1.54
O  0.9004  0.8044  0.6026  1 P 1.55
Zn  0.2467  0.6499  0.7085  5 O 2.02-2.17
Zn  0.7533  0.3501  0.2915  5 O 2.02-2.17
V  0.3365  0.1634  0.1530  6 O 2.14-2.28
V  0.6635  0.8366  0.8470  6 O 2.14-2.28

> Which value of calculated volume does entry 7 give?

14.82 Å³ per atom

> Which value of calculated volume does entry 8 give?

11.49 Å³ per atom

> The lowest calculated volume belongs to which entry?

V2ZnP2O10